Entry 1:
! LiTbNp2Te4, relaxed, DFT PBE; values from VASP
! E_form (uncorrected) in eV per atom: -0.8946
! M_tot in μB per formula unit: 9.245
! Symmetry: P2/m (10)
! Crystal system: monoclinic
&SYSTEM
  ibrav = 0, nat = 8, ntyp = 4
/
ATOMIC_SPECIES
Te 127.60 Te.upf
Tb 158.93 Tb.upf
Np 237.00 Np.upf
Li 6.94 Li.upf
CELL_PARAMETERS angstrom
-2.670 -1.595 3.055
5.946 -1.426 4.453
-2.575 6.997 1.403
ATOMIC_POSITIONS angstrom
Te 3.794 0.618 3.639
Tb 0.000 0.000 0.000
Te -0.424 4.952 2.216
Np 1.685 2.785 2.928
Te 1.154 3.432 5.912
Np -2.623 2.701 2.229
Li 1.638 -1.511 3.754
Te -0.453 0.543 2.998



Entry 2:
! InOs2AuN, relaxed, DFT PBE; values from VASP
! E_form (uncorrected) in eV per atom: 0.7633
! M_tot in μB per formula unit: 0.000
! Symmetry: P4/mmm (123)
! Crystal system: tetragonal
&SYSTEM
  ibrav = 0, nat = 5, ntyp = 4
/
ATOMIC_SPECIES
In 114.82 In.upf
N 14.01 N.upf
Os 190.23 Os.upf
Au 196.97 Au.upf
CELL_PARAMETERS angstrom
-2.256 0.740 3.203
-1.282 -4.812 0.209
3.124 -0.729 2.368
ATOMIC_POSITIONS angstrom
In -0.641 -2.406 0.105
N 0.000 0.000 0.000
Os -1.128 0.370 1.602
Au -0.207 -2.400 2.890
Os 1.562 -0.365 1.184



Entry 3:
! Ce2PmHo3Er6, relaxed, DFT PBE; values from VASP
! Calculated formation energy in eV/atom: 0.050
! M_tot in μB per formula unit: 1.789
! Symmetry: C2/m (12)
! Crystal system: monoclinic
&SYSTEM
  ibrav = 0, nat = 12, ntyp = 4
/
ATOMIC_SPECIES
Ce 140.12 Ce.upf
Er 167.26 Er.upf
Ho 164.93 Ho.upf
Pm 145.00 Pm.upf
CELL_PARAMETERS angstrom
6.103 0.000 0.008
-3.050 5.286 0.008
-1.031 -1.786 11.469
ATOMIC_POSITIONS angstrom
Ce 0.001 3.524 0.008
Er -1.028 1.769 2.878
Er 2.046 -0.006 2.878
Er -0.003 -0.004 8.600
Ho 4.066 -0.014 5.742
Er 3.049 1.731 8.607
Ho 1.011 1.750 5.742
Ho -2.044 3.514 5.742
Pm 0.000 0.000 0.000
Er 2.024 3.505 2.885
Ce 3.052 1.762 0.008
Er -0.025 3.506 8.607



Q: Which density of states at the Fermi level values were calculated for the entries above? A: 2.7990 0.9990 1.8195, in states/eV/atom.